1.
## LiFePd2 (PBE-GGA)

Data for a geometry-optimized LiFePd2 structure.

Structure (POSCAR):
```
LiFePd2
1.0
6.094 0.000 0.000
0.000 6.094 0.000
0.000 0.000 6.094
Li Fe Pd
4 4 8
Direct
0.000 0.000 0.000
0.000 0.500 0.500
0.500 0.000 0.500
0.500 0.500 0.000
0.250 0.250 0.250
0.250 0.750 0.750
0.750 0.250 0.750
0.750 0.750 0.250
0.000 0.000 0.500
0.000 0.500 0.000
0.250 0.250 0.750
0.250 0.750 0.250
0.500 0.000 0.000
0.500 0.500 0.500
0.750 0.250 0.250
0.750 0.750 0.750
```

Results
Crystal system = cubic
Symmetry = F-43m (216)
Electronic total energy = -0.3806 Ry per atom

***

2.
## Sc2Nb4S3N3 (PBE-GGA)

Data for a geometry-optimized Sc2Nb4S3N3 structure.

Structure (POSCAR):
```
Sc2Nb4S3N3
1.0
4.979 -2.902 0.000
4.979 2.902 0.000
-3.213 0.000 11.484
Sc Nb S N
4 8 6 6
Direct
0.032 0.862 0.602
0.138 0.968 0.898
0.862 0.032 0.102
0.968 0.138 0.398
0.199 0.375 0.090
0.317 0.455 0.409
0.375 0.199 0.590
0.455 0.317 0.909
0.545 0.683 0.091
0.625 0.801 0.410
0.683 0.545 0.591
0.801 0.625 0.910
0.079 0.264 0.749
0.264 0.079 0.249
0.425 0.575 0.750
0.575 0.425 0.250
0.736 0.921 0.751
0.921 0.736 0.251
0.000 0.500 0.500
0.154 0.693 0.000
0.307 0.846 0.500
0.500 0.000 0.000
0.693 0.154 0.500
0.846 0.307 0.000
```

Results
Crystal system = monoclinic
Symmetry = C2/c (15)
Electronic total energy = -0.6468 Ry per atom

***

3.
## YGa2Pt3 (PBE-GGA)

Data for a geometry-optimized YGa2Pt3 structure.

Structure (POSCAR):
```
YGa2Pt3
1.0
4.407 0.000 0.000
-2.203 3.816 0.000
0.000 0.000 12.487
Y Ga Pt
2 4 6
Direct
0.000 0.000 0.250
0.000 0.000 0.750
0.333 0.667 0.086
0.333 0.667 0.414
0.667 0.333 0.586
0.667 0.333 0.914
0.000 0.000 0.000
0.000 0.000 0.500
0.333 0.667 0.624
0.333 0.667 0.876
0.667 0.333 0.124
0.667 0.333 0.376
```

Results
Crystal system = hexagonal
Symmetry = P6_3/mmc (194)
Electronic total energy = -0.4460 Ry per atom

***

4.
## Pr3Mg3Ag2Au (PBE-GGA)

Data for a geometry-optimized Pr3Mg3Ag2Au structure.

Structure (POSCAR):
```
Pr3Mg3Ag2Au
1.0
7.802 0.000 0.000
-3.901 6.757 0.000
0.000 0.000 4.322
Pr Mg Ag Au
3 3 2 1
Direct
0.000 0.411 0.000
0.411 0.000 0.000
0.589 0.589 0.000
0.000 0.763 0.500
0.237 0.237 0.500
0.763 0.000 0.500
0.333 0.667 0.500
0.667 0.333 0.500
0.000 0.000 0.000
```

Results
Crystal system = hexagonal
Symmetry = P-62m (189)
Electronic total energy = -0.2562 Ry per atom

***

5.
## GdErMg2Au4 (PBE-GGA)

Data for a geometry-optimized GdErMg2Au4 structure.

Structure (POSCAR):
```
GdErMg2Au4
1.0
4.925 0.000 0.000
0.000 6.789 0.000
0.000 0.000 4.932
Gd Er Mg Au
1 1 2 4
Direct
0.000 0.000 0.000
0.500 0.500 0.519
0.000 0.500 0.006
0.500 0.000 0.509
0.000 0.256 0.499
0.000 0.744 0.499
0.500 0.258 0.020
0.500 0.742 0.020
```

Results
Crystal system = orthorhombic
Symmetry = Pmm2 (25)
Electronic total energy = -0.2905 Ry per atom

***

6.
## Pa2Cl13 (PBE-GGA)

Data for a geometry-optimized Pa2Cl13 structure.

Structure (POSCAR):
```
Pa2Cl13
1.0
6.878 0.000 0.000
-1.052 8.550 0.000
-0.604 -4.196 8.817
Pa Cl
2 13
Direct
0.181 0.167 0.290
0.819 0.833 0.710
0.000 0.000 0.000
0.084 0.439 0.288
0.138 0.914 0.627
0.287 0.884 0.254
0.359 0.322 0.556
0.460 0.470 0.892
0.494 0.213 0.169
0.506 0.787 0.831
0.540 0.530 0.108
0.641 0.678 0.444
0.713 0.116 0.746
0.862 0.086 0.373
0.916 0.561 0.712
```

Results
Crystal system = triclinic
Symmetry = P-1 (2)
Electronic total energy = -0.3140 Ry per atom

***

7.
## Ni2Pd3Se2 (PBE-GGA)

Data for a geometry-optimized Ni2Pd3Se2 structure.

Structure (POSCAR):
```
Ni2Pd3Se2
1.0
4.830 -3.990 0.000
4.830 3.990 0.000
-4.786 0.000 5.974
Ni Pd Se
4 6 4
Direct
0.032 0.032 0.301
0.457 0.457 0.225
0.543 0.543 0.775
0.968 0.968 0.699
0.000 0.500 0.000
0.266 0.266 0.759
0.272 0.728 0.500
0.500 0.000 0.000
0.728 0.272 0.500
0.734 0.734 0.241
0.031 0.623 0.749
0.377 0.969 0.251
0.623 0.031 0.749
0.969 0.377 0.251
```

Results
Crystal system = monoclinic
Symmetry = C2/m (12)
Electronic total energy = -0.3470 Ry per atom

***

8.
## PmLuTl (PBE-GGA)

Data for a geometry-optimized PmLuTl structure.

Structure (POSCAR):
```
PmLuTl
1.0
7.328 0.000 0.000
0.000 7.328 0.000
0.000 0.000 7.328
Pm Lu Tl
4 4 4
Direct
0.000 0.000 0.000
0.000 0.500 0.500
0.500 0.000 0.500
0.500 0.500 0.000
0.000 0.000 0.500
0.000 0.500 0.000
0.500 0.000 0.000
0.500 0.500 0.500
0.250 0.250 0.750
0.250 0.750 0.250
0.750 0.250 0.250
0.750 0.750 0.750
```

Results
Energy above the most stable polymorph in this dataset = 0.0 meV/atom
Crystal system = cubic
Symmetry = F-43m (216)
Electronic total energy = -0.2864 Ry per atom

***

9.
## CdReSb (PBE-GGA)

Data for a geometry-optimized CdReSb structure.

Structure (POSCAR):
```
CdReSb
1.0
6.410 0.000 0.000
0.000 6.410 0.000
0.000 0.000 6.410
Cd Re Sb
4 4 4
Direct
0.000 0.000 0.000
0.000 0.500 0.500
0.500 0.000 0.500
0.500 0.500 0.000
0.250 0.250 0.250
0.250 0.750 0.750
0.750 0.250 0.750
0.750 0.750 0.250
0.000 0.000 0.500
0.000 0.500 0.000
0.500 0.000 0.000
0.500 0.500 0.500
```

Results
Energy above the most stable polymorph in this dataset = 0.0 meV/atom
Crystal system = cubic
Symmetry = F-43m (216)
Electronic total energy = -0.3773 Ry per atom

***

10.
## Sm2Hg3Pb3 (PBE-GGA)

Data for a geometry-optimized Sm2Hg3Pb3 structure.

Structure (POSCAR):
```
Sm2Hg3Pb3
1.0
4.742 0.000 0.000
0.000 4.883 0.000
0.000 0.000 9.255
Sm Hg Pb
2 3 3
Direct
0.000 0.000 0.249
0.000 0.000 0.751
0.000 0.500 0.000
0.500 0.500 0.243
0.500 0.500 0.757
0.000 0.500 0.500
0.500 0.000 0.000
0.500 0.000 0.500
```

Results
Crystal system = orthorhombic
Symmetry = Pmmm (47)
Electronic total energy = -0.2248 Ry per atom

***

11.
## RbCuPtS3 (PBE-GGA)

Data for a geometry-optimized RbCuPtS3 structure.

Structure (POSCAR):
```
RbCuPtS3
1.0
1.854 -7.181 0.000
1.854 7.181 0.000
0.000 0.000 9.867
Rb Cu Pt S
2 2 2 6
Direct
0.247 0.753 0.750
0.753 0.247 0.250
0.042 0.958 0.250
0.958 0.042 0.750
0.500 0.500 0.000
0.500 0.500 0.500
0.107 0.893 0.038
0.107 0.893 0.462
0.449 0.551 0.250
0.551 0.449 0.750
0.893 0.107 0.538
0.893 0.107 0.962
```

Results
Energy above the most stable polymorph in this dataset = 58.2 meV/atom
Crystal system = orthorhombic
Symmetry = Cmcm (63)
Electronic total energy = -0.3175 Ry per atom

***

12.
## Sc2CoN (PBE-GGA)

Data for a geometry-optimized Sc2CoN structure.

Structure (POSCAR):
```
Sc2CoN
1.0
3.139 0.000 0.000
-1.569 2.718 0.000
0.000 0.000 12.906
Sc Co N
4 2 2
Direct
0.333 0.667 0.100
0.333 0.667 0.400
0.667 0.333 0.600
0.667 0.333 0.900
0.333 0.667 0.750
0.667 0.333 0.250
0.000 0.000 0.000
0.000 0.000 0.500
```

Results
Crystal system = hexagonal
Symmetry = P6_3/mmc (194)
Electronic total energy = -0.5788 Ry per atom